Record 1
Crystalline Sm2SCl at its relaxed geometry, computed with PBE-GGA.

Summary:
Uncorrected formation energy   -1.64 eV/atom
SG   R3m
Energy above the most stable polymorph in this dataset   24 meV per atom
Crystal system   trigonal

Cell lengths 3.840, 3.840, 7.830 Å; angles 75.81, 75.81, 60.00 degrees
Positions (direct):
Sm (0.263, 0.263, 0.211)
Sm (0.072, 0.072, 0.784)
Cl (0.499, 0.499, 0.504)
S (0.666, 0.666, 0.001)


Record 2
Crystalline Sm7SCl12 at its relaxed geometry, computed with PBE-GGA.

Summary:
Uncorrected formation energy   -2.04 eV/atom
SG   R-3
Crystal system   trigonal

Cell lengths 8.878, 8.878, 8.878 Å; angles 107.82, 107.82, 107.82 degrees
Positions (direct):
Cl (0.611, 0.525, 0.840)
Cl (0.160, 0.389, 0.475)
Cl (0.313, 0.780, 0.923)
Cl (0.840, 0.611, 0.525)
Cl (0.687, 0.220, 0.077)
Cl (0.923, 0.313, 0.780)
Cl (0.220, 0.077, 0.687)
Cl (0.389, 0.475, 0.160)
Cl (0.525, 0.840, 0.611)
Cl (0.780, 0.923, 0.313)
Cl (0.077, 0.687, 0.220)
Cl (0.475, 0.160, 0.389)
Sm (0.674, 0.883, 0.964)
Sm (0.964, 0.674, 0.883)
Sm (0.326, 0.117, 0.036)
Sm (0.117, 0.036, 0.326)
Sm (0.883, 0.964, 0.674)
Sm (0.036, 0.326, 0.117)
Sm (0.500, 0.500, 0.500)
S (0.000, 0.000, 0.000)


Record 3
Crystalline SmS2Cl4 at its relaxed geometry, computed with PBE-GGA.

Summary:
Uncorrected formation energy   -1.19 eV/atom
SG   P-1
Crystal system   triclinic

Cell lengths 7.935, 4.145, 13.536 Å; angles 111.59, 122.21, 108.61 degrees
Last column: magnetic moment on the atom in μB.
Positions (direct):
Cl (0.871, 0.191, 0.810)  0.00
Cl (0.502, 0.515, 0.856)  -0.01
Cl (0.129, 0.809, 0.190)  0.00
Cl (0.498, 0.485, 0.144)  -0.01
S (0.164, 0.297, 0.588)  -0.29
S (0.836, 0.703, 0.412)  -0.29
Sm (0.000, 0.000, 0.000)  0.00


Record 4
Crystalline Sm3SCl3 at its relaxed geometry, computed with PBE-GGA.

Summary:
Uncorrected formation energy   -1.89 eV/atom
SG   R-3
Crystal system   trigonal

Cell lengths 6.871, 6.871, 10.851 Å; angles 71.54, 71.54, 60.00 degrees
Positions (direct):
Sm (0.292, 0.606, 0.152)
Sm (0.949, 0.292, 0.152)
Sm (0.051, 0.708, 0.848)
Sm (0.708, 0.394, 0.848)
Sm (0.394, 0.051, 0.848)
Sm (0.606, 0.949, 0.152)
Cl (0.433, 0.780, 0.681)
Cl (0.780, 0.106, 0.681)
Cl (0.220, 0.894, 0.319)
Cl (0.894, 0.567, 0.319)
Cl (0.567, 0.220, 0.319)
Cl (0.106, 0.433, 0.681)
S (0.333, 0.333, 0.000)
S (0.667, 0.667, 0.000)